Entry 1:
! NaCeHfZrO6 GGA-PBE relaxed; values from VASP
! E_form (uncorrected)   -3002 meV/atom
! Raw total energy   -8.55 eV per atom
! SG   F-43m
&SYSTEM
  ibrav = 0, nat = 10, ntyp = 5
/
ATOMIC_SPECIES
O 16.00 O.upf
Ce 140.12 Ce.upf
Hf 178.49 Hf.upf
Zr 91.22 Zr.upf
Na 22.99 Na.upf
CELL_PARAMETERS angstrom
0.0000 4.1306 4.1306
4.1306 0.0000 4.1306
4.1306 4.1306 0.0000
ATOMIC_POSITIONS angstrom
O 4.1306 2.0507 4.1306
O 4.1306 6.2105 4.1306
Ce 6.1959 6.1959 6.1959
Hf 0.0000 0.0000 0.0000
O 2.0507 4.1306 4.1306
O 4.1306 4.1306 6.2105
O 4.1306 4.1306 2.0507
Zr 4.1306 4.1306 4.1306
O 6.2105 4.1306 4.1306
Na 2.0653 2.0653 2.0653

Entry 2:
! Na3Ce2HfS6 GGA-PBE relaxed; values from VASP
! E_form (uncorrected)   -1623 meV/atom
! Raw total energy   -5.84 eV per atom
! SG   C2/m
&SYSTEM
  ibrav = 0, nat = 12, ntyp = 4
/
ATOMIC_SPECIES
Ce 140.12 Ce.upf
S 32.06 S.upf
Na 22.99 Na.upf
Hf 178.49 Hf.upf
CELL_PARAMETERS angstrom
6.8740 -0.0021 -0.0042
-3.4371 5.9530 -0.0042
-1.1508 -1.9926 6.7197
ATOMIC_POSITIONS angstrom
Ce 3.4394 1.9815 -0.0042
S 3.3480 2.1187 5.1715
S 2.1240 -0.0005 1.5398
Na 1.1430 1.9791 3.3557
Hf 0.0000 0.0000 0.0000
Na -2.2901 3.9619 3.3557
S -1.0619 1.8395 1.5398
Ce -0.0025 3.9694 -0.0042
S 0.1620 3.9587 5.1715
S -0.0898 -0.1554 5.1993
Na 4.5761 -0.0036 3.3557
S 2.3758 4.1137 1.5120

In the order shown, the computed mass density values come out to 6.23; 4.35 g cm⁻³.